Record 1
## Ce4GeAuSe2 (GGA-PBE)

Data for a geometry-optimized Ce4GeAuSe2 structure.

The formation energy without anion corrections comes out at -1185 meV/atom. As for the calculated total energy: -6.010 eV/atom.

The space group is P2/m (No. 10) and the conventional cell measures 7.3807, 4.2232 and 7.3854 Å, with angles of 90.00, 109.08 and 90.00 degrees. The asymmetric unit holds Ce at (0.2431, 0.0000, 0.2461), Ce at (0.2450, 0.5000, 0.7507), Ge at (0.0000, 0.0000, 0.5000), Au at (0.5000, 0.5000, 0.5000), Se at (0.0000, 0.5000, 0.0000) and Se at (0.5000, 0.0000, 0.0000).

=====

Record 2
## CeSmGeAu (GGA-PBE)

Data for a geometry-optimized CeSmGeAu structure.

Its energy relative to the elements is -741.2 meV per atom. The value obtained for the relative energy among the computed polymorphs is 0.0 kJ per mole of atoms. As for the calculated total energy: -5.378 eV/atom.

The space group is Amm2 (No. 38) and the conventional cell measures 4.4107, 4.1696 and 11.1253 Å, with angles of 90.00, 90.00 and 90.00 degrees. The asymmetric unit holds Ce at (0.0000, 0.0000, 0.0000), Sm at (0.5000, 0.0000, 0.7230), Ge at (0.5000, 0.0000, 0.4466) and Au at (0.0000, 0.0000, 0.2802).

=====

Record 3
## CeSmGeAu (GGA-PBE)

Data for a geometry-optimized CeSmGeAu structure.

Its energy relative to the elements is -656.8 meV per atom. The value obtained for the relative energy among the computed polymorphs is 8.1 kJ per mole of atoms. As for the calculated total energy: -5.294 eV/atom.

The space group is F-43m (No. 216) and the conventional cell measures 7.3575, 7.3575 and 7.3575 Å, with angles of 90.00, 90.00 and 90.00 degrees. The asymmetric unit holds Ce at (0.0000, 0.0000, 0.0000), Sm at (0.0000, 0.0000, 0.5000), Ge at (0.2500, 0.2500, 0.7500) and Au at (0.2500, 0.2500, 0.2500).

=====

Record 4
## Ce2SnGe3Au4 (GGA-PBE)

Data for a geometry-optimized Ce2SnGe3Au4 structure.

Its energy relative to the elements is -493.0 meV per atom. As for the calculated total energy: -4.776 eV/atom.

The space group is P-4m2 (No. 115) and the conventional cell measures 4.4379, 4.4379 and 11.1547 Å, with angles of 90.00, 90.00 and 90.00 degrees. The asymmetric unit holds Ce at (0.0000, 0.5000, 0.2300), Sn at (0.0000, 0.0000, 0.5000), Ge at (0.0000, 0.5000, 0.8705), Ge at (0.5000, 0.5000, 0.5000), Au at (0.0000, 0.0000, 0.0000), Au at (0.0000, 0.5000, 0.6476) and Au at (0.5000, 0.5000, 0.0000).

=====

Number 1: total moment 3.98 Bohr magnetons per cell. Number 2: total moment 2.14 Bohr magnetons per cell. Number 3: total moment 7.55 Bohr magnetons per cell. Number 4: total moment 1.77 Bohr magnetons per cell.